Entry 1:
# BaMg3Pd PBE-GGA optimized geometry
# space group: No. 63
# spin magnetization: 0.000 μB per formula unit
# distance to the lowest polymorph of the same formula: 2.0 kJ/mol of atoms
# formation energy from the elements: -0.3033 eV/atom
# calculated volume: 134.9 Å³/f.u.
# energy: -0.1972 Ry per atom
# DOS(E_F): 6.215 states/eV/cell
data_BaMg3Pd
_cell_length_a 5.887
_cell_length_b 7.155
_cell_length_c 7.337
_cell_angle_alpha 119.19
_cell_angle_beta 90.00
_cell_angle_gamma 90.00
_space_group_name_H-M_alt 'P 1'
_space_group_IT_number 1
_space_group_name_Hall 'P 1'
loop_
_atom_site_label
_atom_site_fract_x
_atom_site_fract_y
_atom_site_fract_z
Ba1 0.250 0.384 0.767
Ba2 0.750 0.616 0.233
Mg1 0.250 0.821 0.642
Mg2 0.750 0.179 0.358
Mg3 0.250 0.342 0.254
Mg4 0.750 0.658 0.746
Mg5 0.250 0.911 0.254
Mg6 0.750 0.089 0.746
Pd1 0.000 0.000 0.000
Pd2 0.500 0.000 0.000

Entry 2:
# BaMgPd PBE-GGA optimized geometry
# space group: No. 107
# spin magnetization: 0.000 μB per formula unit
# formation energy from the elements: -0.3401 eV/atom
# calculated volume: 82.1 Å³/f.u.
# energy: -0.2384 Ry per atom
# DOS(E_F): 2.121 states/eV/cell
data_BaMgPd
_cell_length_a 3.667
_cell_length_b 3.667
_cell_length_c 6.630
_cell_angle_alpha 106.06
_cell_angle_beta 106.06
_cell_angle_gamma 90.00
_space_group_name_H-M_alt 'P 1'
_space_group_IT_number 1
_space_group_name_Hall 'P 1'
loop_
_atom_site_label
_atom_site_fract_x
_atom_site_fract_y
_atom_site_fract_z
Mg1 0.285 0.285 0.570
Ba1 0.013 0.013 0.025
Pd1 0.702 0.702 0.405

Entry 3:
# Ba3Mg4Pd4 PBE-GGA optimized geometry
# space group: No. 71
# spin magnetization: 0.000 μB per formula unit
# formation energy from the elements: -0.4980 eV/atom
# calculated volume: 284.7 Å³/f.u.
# energy: -0.2566 Ry per atom
# DOS(E_F): 3.416 states/eV/cell
data_Ba3Mg4Pd4
_cell_length_a 4.521
_cell_length_b 8.194
_cell_length_c 8.998
_cell_angle_alpha 117.09
_cell_angle_beta 104.55
_cell_angle_gamma 90.00
_space_group_name_H-M_alt 'P 1'
_space_group_IT_number 1
_space_group_name_Hall 'P 1'
loop_
_atom_site_label
_atom_site_fract_x
_atom_site_fract_y
_atom_site_fract_z
Ba1 0.119 0.119 0.237
Ba2 0.881 0.881 0.763
Ba3 0.000 0.500 0.000
Mg1 0.323 0.132 0.645
Mg2 0.677 0.487 0.355
Mg3 0.677 0.868 0.355
Mg4 0.323 0.513 0.645
Pd1 0.220 0.720 0.441
Pd2 0.780 0.280 0.559
Pd3 0.500 0.807 0.000
Pd4 0.500 0.193 0.000